# 1
Material: Na2YPdO4
Method: DFT, GGA-PBE
State: relaxed

a b c (Å): 5.4667 3.4065 5.8789
angles (deg): 90.00 108.52 90.00
Space group P2/m (No. 10)
Asymmetric unit:
Na: 0.0000 0.0000 0.0000 (multiplicity 1)
Na: 0.5000 0.5000 0.0000 (multiplicity 1)
Y: 0.0000 0.5000 0.5000 (multiplicity 1)
Pd: 0.5000 0.0000 0.5000 (multiplicity 1)
O: 0.2513 0.0000 0.7121 (multiplicity 2)
O: 0.2717 0.5000 0.2795 (multiplicity 2)

## Properties
energy relative to the elements, uncorrected: -1.77 eV/atom

***

# 2
Material: NaY2PdO
Method: DFT, GGA-PBE
State: relaxed

a b c (Å): 4.7216 4.7216 4.4181
angles (deg): 90.00 90.00 90.00
Space group P4/mmm (No. 123)
Asymmetric unit:
Na: 0.0000 0.0000 0.0000 (multiplicity 1)
Y: 0.0000 0.5000 0.5000 (multiplicity 2)
Pd: 0.5000 0.5000 0.0000 (multiplicity 1)
O: 0.0000 0.0000 0.5000 (multiplicity 1)

## Properties
energy relative to the elements, uncorrected: -1.26 eV/atom

***

# 3
Material: NaY2PdO5
Method: DFT, GGA-PBE
State: relaxed

a b c (Å): 6.5436 6.5436 5.8049
angles (deg): 90.00 90.00 90.00
Space group P4/mbm (No. 127)
Asymmetric unit:
Na: 0.0000 0.0000 0.0000 (multiplicity 2)
Y: 0.1736 0.3264 0.5000 (multiplicity 4)
Pd: 0.0000 0.5000 0.0000 (multiplicity 2)
O: 0.0000 0.0000 0.5000 (multiplicity 2)
O: 0.1389 0.6389 0.2594 (multiplicity 8)

## Properties
energy relative to the elements, uncorrected: -2.24 eV/atom

***

# 4
Material: NaYbPd6O8
Method: DFT, GGA-PBE
State: relaxed

a b c (Å): 5.8190 5.8190 5.8190
angles (deg): 90.00 90.00 90.00
Space group Pm-3 (No. 200)
Asymmetric unit:
Na: 0.0000 0.0000 0.0000 (multiplicity 1)
Yb: 0.5000 0.5000 0.5000 (multiplicity 1)
Pd: 0.0000 0.2487 0.5000 (multiplicity 6)
O: 0.2568 0.2568 0.2568 (multiplicity 8)

## Properties
energy relative to the elements, uncorrected: -0.99 eV/atom